(1)
VASP calculation (PBE) on a relaxed structure of FeBi2OsRu.

The raw total energy is -5.87 eV per atom. The calculated formation energy is 7.37 eV/f.u.

The space group is P4/mmm (No. 123) and the conventional cell measures 4.9101, 4.9101 and 4.4339 Å, with angles of 90.00, 90.00 and 90.00 degrees. The asymmetric unit holds Fe at (0.0000, 0.0000, 0.0000), Bi at (0.0000, 0.5000, 0.0000), Os at (0.0000, 0.0000, 0.5000) and Ru at (0.5000, 0.5000, 0.5000).



(2)
VASP calculation (PBE) on a relaxed structure of ZnCdC2.

As for the distance to the lowest polymorph of the same formula: 8.062 kcal/mol of atoms. The raw total energy is -3.07 eV per atom. The calculated formation energy is 8.35 eV/f.u.

The space group is Fm-3m (No. 225) and the conventional cell measures 5.8191, 5.8191 and 5.8191 Å, with angles of 90.00, 90.00 and 90.00 degrees. The asymmetric unit holds Zn at (0.0000, 0.0000, 0.0000), Cd at (0.0000, 0.0000, 0.5000) and C at (0.2500, 0.2500, 0.2500).



(3)
VASP calculation (PBE) on a relaxed structure of CaLa2As.

The raw total energy is -4.26 eV per atom. The calculated formation energy is -0.54 eV/f.u.

The space group is F-43m (No. 216) and the conventional cell measures 7.7001, 7.7001 and 7.7001 Å, with angles of 90.00, 90.00 and 90.00 degrees. The asymmetric unit holds Ca at (0.0000, 0.0000, 0.0000), La at (0.0000, 0.0000, 0.5000), La at (0.2500, 0.2500, 0.7500) and As at (0.2500, 0.2500, 0.2500).



(4)
VASP calculation (PBE) on a relaxed structure of LaBiSe2N.

As for the distance to the lowest polymorph of the same formula: 3.061 kcal/mol of atoms. The raw total energy is -4.78 eV per atom. The value obtained for the uncorrected formation energy is 0.0413 eV/atom.

The space group is P4/mmm (No. 123) and the conventional cell measures 5.8517, 5.8517 and 4.2088 Å, with angles of 90.00, 90.00 and 90.00 degrees. The asymmetric unit holds La at (0.0000, 0.0000, 0.0000), Bi at (0.5000, 0.5000, 0.5000), Se at (0.0000, 0.5000, 0.0000) and N at (0.0000, 0.0000, 0.5000).



(5)
VASP calculation (PBE) on a relaxed structure of Li6Cd8In.

The raw total energy is -1.61 eV per atom. The calculated formation energy is -2.59 eV/f.u.

The space group is R-3 (No. 148, hexagonal axes) and the conventional cell measures 7.6021, 7.6021 and 18.2809 Å, with angles of 90.00, 90.00 and 120.00 degrees. The asymmetric unit holds Li at (0.0081, 0.7521, 0.2107), Cd at (0.0000, 0.0000, 0.0954), Cd at (0.0363, 0.2685, 0.6290) and In at (0.0000, 0.0000, 0.5000).



(6)
VASP calculation (PBE) on a relaxed structure of Ti4Ga2Si.

As for the distance to the lowest polymorph of the same formula: 4.763 kcal/mol of atoms. The raw total energy is -6.04 eV per atom. The value obtained for the uncorrected formation energy is 0.1093 eV/atom.

The space group is I4/mmm (No. 139) and the conventional cell measures 4.4632, 4.4632 and 13.6572 Å, with angles of 90.00, 90.00 and 90.00 degrees. The asymmetric unit holds Ti at (0.0000, 0.0000, 0.1745), Ti at (0.0000, 0.5000, 0.0000), Ga at (0.0000, 0.0000, 0.3692) and Si at (0.0000, 0.0000, 0.0000).



(7)
VASP calculation (PBE) on a relaxed structure of La2Al4Ir3Pt.

The raw total energy is -6.69 eV per atom. The calculated formation energy is -9.40 eV/f.u.

The space group is P-4m2 (No. 115) and the conventional cell measures 4.2670, 4.2670 and 10.5372 Å, with angles of 90.00, 90.00 and 90.00 degrees. The asymmetric unit holds La at (0.0000, 0.5000, 0.2478), Al at (0.0000, 0.0000, 0.5000), Al at (0.0000, 0.5000, 0.8756), Al at (0.5000, 0.5000, 0.5000), Ir at (0.0000, 0.0000, 0.0000), Ir at (0.0000, 0.5000, 0.6338) and Pt at (0.5000, 0.5000, 0.0000).



(8)
VASP calculation (PBE) on a relaxed structure of LaNiSn.

The raw total energy is -5.54 eV per atom. The calculated formation energy is -1.91 eV/f.u.

The space group is Pnma (No. 62) and the conventional cell measures 7.8291, 4.7550 and 7.3263 Å, with angles of 90.00, 90.00 and 90.00 degrees. The asymmetric unit holds La at (0.0331, 0.2500, 0.1876), Ni at (0.1743, 0.7500, 0.4250) and Sn at (0.1791, 0.2500, 0.6013).



(9)
VASP calculation (PBE) on a relaxed structure of Y3Zn3Hg2.

The raw total energy is -3.36 eV per atom. The calculated formation energy is -3.06 eV/f.u.

The space group is Cmcm (No. 63) and the conventional cell measures 4.5202, 10.9425 and 14.7486 Å, with angles of 90.00, 90.00 and 90.00 degrees. The asymmetric unit holds Y at (0.0000, 0.0877, 0.1095), Y at (0.0000, 0.3628, 0.2500), Zn at (0.0000, 0.3607, 0.7500), Zn at (0.0000, 0.3975, 0.0387) and Hg at (0.0000, 0.2051, 0.6013).



(10)
VASP calculation (PBE) on a relaxed structure of CsGeOsO6.

The raw total energy is -6.47 eV per atom. The value obtained for the uncorrected formation energy is -1.3048 eV/atom.

The space group is Imma (No. 74) and the conventional cell measures 6.9394, 7.2909 and 10.2347 Å, with angles of 90.00, 90.00 and 90.00 degrees. The asymmetric unit holds Cs at (0.0000, 0.2500, 0.1172), Ge at (0.2500, 0.2500, 0.7500), Os at (0.0000, 0.0000, 0.5000), O at (0.0000, 0.2500, 0.4337), O at (0.0000, 0.2500, 0.8123) and O at (0.1913, 0.0619, 0.6221).



(11)
VASP calculation (PBE) on a relaxed structure of CeNpBr6.

The raw total energy is -5.16 eV per atom. The value obtained for the uncorrected formation energy is -1.5415 eV/atom.

The space group is C2/m (No. 12) and the conventional cell measures 7.2722, 13.0097 and 7.2207 Å, with angles of 90.00, 106.42 and 90.00 degrees. The asymmetric unit holds Ce at (0.0000, 0.0000, 0.0000), Np at (0.0000, 0.5000, 0.5000), Br at (0.2466, 0.3506, 0.7492) and Br at (0.2484, 0.0000, 0.7455).



(12)
VASP calculation (PBE) on a relaxed structure of Ti3TcF.

As for the distance to the lowest polymorph of the same formula: 22.013 kcal/mol of atoms. The raw total energy is -6.76 eV per atom. The value obtained for the uncorrected formation energy is 0.4274 eV/atom.

The space group is Pm-3m (No. 221) and the conventional cell measures 4.7494, 4.7494 and 4.7494 Å, with angles of 90.00, 90.00 and 90.00 degrees. The asymmetric unit holds Ti at (0.0000, 0.0000, 0.5000), Tc at (0.0000, 0.0000, 0.0000) and F at (0.5000, 0.5000, 0.5000).



(13)
VASP calculation (PBE) on a relaxed structure of LiCeMgIn.

As for the distance to the lowest polymorph of the same formula: 0.223 kcal/mol of atoms. The raw total energy is -3.22 eV per atom. The calculated formation energy is -0.68 eV/f.u.

The space group is F-43m (No. 216) and the conventional cell measures 7.1545, 7.1545 and 7.1545 Å, with angles of 90.00, 90.00 and 90.00 degrees. The asymmetric unit holds Li at (0.0000, 0.0000, 0.0000), Ce at (0.2500, 0.2500, 0.2500), Mg at (0.0000, 0.0000, 0.5000) and In at (0.2500, 0.2500, 0.7500).



(14)
VASP calculation (PBE) on a relaxed structure of Ce4TcOs.

As for the distance to the lowest polymorph of the same formula: 0.000 kcal/mol of atoms. The raw total energy is -7.68 eV per atom. The calculated formation energy is -0.76 eV/f.u.

The space group is P4/mmm (No. 123) and the conventional cell measures 3.4809, 3.4809 and 10.4788 Å, with angles of 90.00, 90.00 and 90.00 degrees. The asymmetric unit holds Ce at (0.0000, 0.0000, 0.1610), Ce at (0.5000, 0.5000, 0.3379), Tc at (0.0000, 0.0000, 0.5000) and Os at (0.5000, 0.5000, 0.0000).



(15)
VASP calculation (PBE) on a relaxed structure of ReAg2Sn.

The raw total energy is -4.76 eV per atom. The calculated formation energy is 3.12 eV/f.u.

The space group is I-42d (No. 122) and the conventional cell measures 3.9103, 3.9103 and 20.6910 Å, with angles of 90.00, 90.00 and 90.00 degrees. The asymmetric unit holds Re at (0.0000, 0.0000, 0.0000), Ag at (0.2423, 0.2500, 0.1250) and Sn at (0.0000, 0.0000, 0.5000).



(16)
VASP calculation (PBE) on a relaxed structure of Ac3Y3TmS8.

The raw total energy is -6.65 eV per atom. The value obtained for the uncorrected formation energy is -2.0369 eV/atom.

The space group is R-3m (No. 166, hexagonal axes) and the conventional cell measures 8.0282, 8.0282 and 20.7204 Å, with angles of 90.00, 90.00 and 120.00 degrees. The asymmetric unit holds Ac at (0.0000, 0.5000, 0.0000), Y at (0.0000, 0.5000, 0.5000), Tm at (0.0000, 0.0000, 0.5000), S at (0.0000, 0.0000, 0.2402) and S at (0.0030, 0.5015, 0.2401).



(17)
VASP calculation (PBE) on a relaxed structure of K12Au7F.

The raw total energy is -2.36 eV per atom. The value obtained for the uncorrected formation energy is -0.4640 eV/atom.

The space group is R-3 (No. 148, hexagonal axes) and the conventional cell measures 16.8700, 16.8700 and 9.2659 Å, with angles of 90.00, 90.00 and 120.00 degrees. The asymmetric unit holds K at (0.0006, 0.1357, 0.1710), K at (0.0301, 0.2613, 0.5735), Au at (0.0000, 0.0000, 0.5000), Au at (0.0281, 0.4552, 0.6033) and F at (0.0000, 0.0000, 0.0000).



(18)
VASP calculation (PBE) on a relaxed structure of K3AgB.

As for the distance to the lowest polymorph of the same formula: 0.000 kcal/mol of atoms. The raw total energy is -1.77 eV per atom. The calculated formation energy is 3.99 eV/f.u.

The space group is Pm-3m (No. 221) and the conventional cell measures 6.0344, 6.0344 and 6.0344 Å, with angles of 90.00, 90.00 and 90.00 degrees. The asymmetric unit holds K at (0.0000, 0.0000, 0.5000), Ag at (0.5000, 0.5000, 0.5000) and B at (0.0000, 0.0000, 0.0000).



(19)
VASP calculation (PBE) on a relaxed structure of Sc3ZnMo.

As for the distance to the lowest polymorph of the same formula: 0.000 kcal/mol of atoms. The raw total energy is -5.71 eV per atom. The calculated formation energy is 2.55 eV/f.u.

The space group is Pm-3m (No. 221) and the conventional cell measures 5.0262, 5.0262 and 5.0262 Å, with angles of 90.00, 90.00 and 90.00 degrees. The asymmetric unit holds Sc at (0.0000, 0.0000, 0.5000), Zn at (0.5000, 0.5000, 0.5000) and Mo at (0.0000, 0.0000, 0.0000).



(20)
VASP calculation (PBE) on a relaxed structure of HoPuAg2.

As for the distance to the lowest polymorph of the same formula: 4.753 kcal/mol of atoms. The raw total energy is -6.05 eV per atom. The calculated formation energy is 0.42 eV/f.u.

The space group is R-3m (No. 166, hexagonal axes) and the conventional cell measures 3.3353, 3.3353 and 30.1784 Å, with angles of 90.00, 90.00 and 120.00 degrees. The asymmetric unit holds Ho at (0.0000, 0.0000, 0.0000), Pu at (0.0000, 0.0000, 0.5000) and Ag at (0.0000, 0.0000, 0.2529).